[1]
K3CaMn2F9: optimized geometry, GGA+U.

Unit cell a=6.1163 b=6.1163 c=7.5215 alpha=90.00 beta=90.00 gamma=120.00
Space group P-3m1 (No. 164)
Symmetry-distinct sites (fractional):
1 K 0.0000 0.0000 0.0000 x1
2 K 0.3333 0.6667 0.6771 x2
3 Ca 0.0000 0.0000 0.5000 x1
4 Mn 0.3333 0.6667 0.1622 x2
5 F 0.0000 0.5000 0.0000 x3
6 F 0.1703 0.3406 0.3255 x6

Computed properties:
E in eV/atom: -5.4711
DOS(E_F) in states/eV/cell: 0.0

[2]
KCaMn2F8: optimized geometry, GGA+U.

Unit cell a=5.8689 b=5.8689 c=7.7153 alpha=90.00 beta=90.00 gamma=120.00
Space group P-3 (No. 147)
Symmetry-distinct sites (fractional):
1 K 0.0000 0.0000 0.0000 x1
2 Ca 0.0000 0.0000 0.5000 x1
3 Mn 0.3333 0.6667 0.7699 x2
4 F 0.0684 0.3167 0.6922 x6
5 F 0.3333 0.6667 0.0109 x2

Computed properties:
E in eV/atom: -5.5263
DOS(E_F) in states/eV/cell: 7.2